Mg2GaCu (PBE-GGA, relaxed); density of states at the Fermi level = 3.09 states/eV per cell; theoretical density = 3.9 g cm⁻³; energy = -19.30 eV/cell; energy of formation = 0.166 eV per atom; M_tot = 0.0000 μB per atom
1.0
7.4410 0.0000 0.0000
0.0000 7.4410 0.0000
3.7205 3.7205 2.8281
Mg Cu Ga
4 2 2
direct
0.3750 0.4019 0.7500 Mg
0.8750 0.8481 0.7500 Mg
0.5981 0.1250 0.2500 Mg
0.1519 0.6250 0.2500 Mg
0.5000 0.5000 0.0000 Cu
0.2500 0.7500 0.5000 Cu
0.0000 0.0000 0.0000 Ga
0.7500 0.2500 0.5000 Ga